Entry 1:
HfTc2Hg: relaxed, GGA-PBE.

Unit cell a=6.5236 b=6.5236 c=6.5236 alpha=90.00 beta=90.00 gamma=90.00
Closest atoms and distances in Å follow each position.
Fractional positions:
Hf1 0.0000 0.0000 0.0000  4 Hg 2.82, 4 Tc 2.82
Hf2 0.0000 0.5000 0.5000  4 Hg 2.82, 4 Tc 2.82
Hf3 0.5000 0.0000 0.5000  4 Hg 2.82, 4 Tc 2.82
Hf4 0.5000 0.5000 0.0000  4 Hg 2.82, 4 Tc 2.82
Tc1 0.0000 0.0000 0.5000  4 Hg 2.82, 4 Tc 2.82
Tc2 0.0000 0.5000 0.0000  4 Hg 2.82, 4 Tc 2.82
Tc3 0.2500 0.2500 0.7500  4 Hf 2.82, 4 Tc 2.82
Tc4 0.2500 0.7500 0.2500  4 Hf 2.82, 4 Tc 2.82
Tc5 0.5000 0.0000 0.0000  4 Hg 2.82, 4 Tc 2.82
Tc6 0.5000 0.5000 0.5000  4 Hg 2.82, 4 Tc 2.82
Tc7 0.7500 0.2500 0.2500  4 Hf 2.82, 4 Tc 2.82
Tc8 0.7500 0.7500 0.7500  4 Hf 2.82, 4 Tc 2.82
Hg1 0.2500 0.2500 0.2500  4 Hf 2.82, 4 Tc 2.82
Hg2 0.2500 0.7500 0.7500  4 Hf 2.82, 4 Tc 2.82
Hg3 0.7500 0.2500 0.7500  4 Hf 2.82, 4 Tc 2.82
Hg4 0.7500 0.7500 0.2500  4 Hf 2.82, 4 Tc 2.82

Summary:
The value obtained for the energy of formation from the pure elements is 0.280 eV/atom. As for the symmetry: F-43m, No. 216.

---

Entry 2:
HfTcHg: relaxed, GGA-PBE.

Unit cell a=6.3964 b=6.3964 c=6.3964 alpha=90.00 beta=90.00 gamma=90.00
Closest atoms and distances in Å follow each position.
Fractional positions:
Hf1 0.0000 0.0000 0.0000  4 Hg 2.77, 4 Tc 2.77
Hf2 0.0000 0.5000 0.5000  4 Hg 2.77, 4 Tc 2.77
Hf3 0.5000 0.0000 0.5000  4 Hg 2.77, 4 Tc 2.77
Hf4 0.5000 0.5000 0.0000  4 Hg 2.77, 4 Tc 2.77
Tc1 0.2500 0.2500 0.2500  4 Hf 2.77
Tc2 0.2500 0.7500 0.7500  4 Hf 2.77
Tc3 0.7500 0.2500 0.7500  4 Hf 2.77
Tc4 0.7500 0.7500 0.2500  4 Hf 2.77
Hg1 0.2500 0.2500 0.7500  4 Hf 2.77
Hg2 0.2500 0.7500 0.2500  4 Hf 2.77
Hg3 0.7500 0.2500 0.2500  4 Hf 2.77
Hg4 0.7500 0.7500 0.7500  4 Hf 2.77

Summary:
The calculation puts the energy above the most stable polymorph in this dataset at 193.5 meV per atom. The value obtained for the energy of formation from the pure elements is 0.732 eV/atom. As for the symmetry: F-43m, No. 216.

---

Entry 3:
HfTc2Hg: relaxed, GGA-PBE.

Unit cell a=6.5236 b=6.5236 c=6.5236 alpha=90.00 beta=90.00 gamma=90.00
Closest atoms and distances in Å follow each position.
Fractional positions:
Hf1 0.0000 0.0000 0.0000  4 Hg 2.82, 4 Tc 2.82
Hf2 0.0000 0.5000 0.5000  4 Hg 2.82, 4 Tc 2.82
Hf3 0.5000 0.0000 0.5000  4 Hg 2.82, 4 Tc 2.82
Hf4 0.5000 0.5000 0.0000  4 Hg 2.82, 4 Tc 2.82
Tc1 0.0000 0.0000 0.5000  4 Hg 2.82, 4 Tc 2.82
Tc2 0.0000 0.5000 0.0000  4 Hg 2.82, 4 Tc 2.82
Tc3 0.2500 0.2500 0.2500  4 Hf 2.82, 4 Tc 2.82
Tc4 0.2500 0.7500 0.7500  4 Hf 2.82, 4 Tc 2.82
Tc5 0.5000 0.0000 0.0000  4 Hg 2.82, 4 Tc 2.82
Tc6 0.5000 0.5000 0.5000  4 Hg 2.82, 4 Tc 2.82
Tc7 0.7500 0.2500 0.7500  4 Hf 2.82, 4 Tc 2.82
Tc8 0.7500 0.7500 0.2500  4 Hf 2.82, 4 Tc 2.82
Hg1 0.2500 0.2500 0.7500  4 Hf 2.82, 4 Tc 2.82
Hg2 0.2500 0.7500 0.2500  4 Hf 2.82, 4 Tc 2.82
Hg3 0.7500 0.2500 0.2500  4 Hf 2.82, 4 Tc 2.82
Hg4 0.7500 0.7500 0.7500  4 Hf 2.82, 4 Tc 2.82

Summary:
The value obtained for the energy of formation from the pure elements is 0.280 eV/atom. As for the symmetry: F-43m, No. 216.

---

Entry 4:
HfTcHg: relaxed, GGA-PBE.

Unit cell a=6.4039 b=6.4039 c=6.4039 alpha=90.00 beta=90.00 gamma=90.00
Closest atoms and distances in Å follow each position.
Fractional positions:
Hf1 0.0000 0.0000 0.0000  4 Tc 2.77
Hf2 0.0000 0.5000 0.5000  4 Tc 2.77
Hf3 0.5000 0.0000 0.5000  4 Tc 2.77
Hf4 0.5000 0.5000 0.0000  4 Tc 2.77
Tc1 0.2500 0.2500 0.2500  4 Hg 2.77, 4 Hf 2.77
Tc2 0.2500 0.7500 0.7500  4 Hg 2.77, 4 Hf 2.77
Tc3 0.7500 0.2500 0.7500  4 Hg 2.77, 4 Hf 2.77
Tc4 0.7500 0.7500 0.2500  4 Hg 2.77, 4 Hf 2.77
Hg1 0.0000 0.0000 0.5000  4 Tc 2.77
Hg2 0.0000 0.5000 0.0000  4 Tc 2.77
Hg3 0.5000 0.0000 0.0000  4 Tc 2.77
Hg4 0.5000 0.5000 0.5000  4 Tc 2.77

Summary:
The calculation puts the energy above the most stable polymorph in this dataset at 0.0 meV per atom. The value obtained for the energy of formation from the pure elements is 0.538 eV/atom. As for the symmetry: F-43m, No. 216.

---

Entry 5:
Hf2TcHg: relaxed, GGA-PBE.

Unit cell a=6.6872 b=6.6872 c=6.6872 alpha=90.00 beta=90.00 gamma=90.00
Closest atoms and distances in Å follow each position.
Fractional positions:
Hf1 0.0000 0.0000 0.0000  4 Hg 2.90, 4 Hf 2.90
Hf2 0.0000 0.5000 0.5000  4 Hg 2.90, 4 Hf 2.90
Hf3 0.2500 0.2500 0.2500  4 Hf 2.90, 4 Tc 2.90
Hf4 0.2500 0.7500 0.7500  4 Hf 2.90, 4 Tc 2.90
Hf5 0.5000 0.0000 0.5000  4 Hg 2.90, 4 Hf 2.90
Hf6 0.5000 0.5000 0.0000  4 Hg 2.90, 4 Hf 2.90
Hf7 0.7500 0.2500 0.7500  4 Hf 2.90, 4 Tc 2.90
Hf8 0.7500 0.7500 0.2500  4 Hf 2.90, 4 Tc 2.90
Tc1 0.0000 0.0000 0.5000  4 Hg 2.90, 4 Hf 2.90
Tc2 0.0000 0.5000 0.0000  4 Hf 2.90, 4 Hg 2.90
Tc3 0.5000 0.0000 0.0000  4 Hf 2.90, 4 Hg 2.90
Tc4 0.5000 0.5000 0.5000  4 Hf 2.90, 4 Hg 2.90
Hg1 0.2500 0.2500 0.7500  4 Hf 2.90, 4 Tc 2.90
Hg2 0.2500 0.7500 0.2500  4 Hf 2.90, 4 Tc 2.90
Hg3 0.7500 0.2500 0.2500  4 Hf 2.90, 4 Tc 2.90
Hg4 0.7500 0.7500 0.7500  4 Hf 2.90, 4 Tc 2.90

Summary:
The value obtained for the energy of formation from the pure elements is 0.143 eV/atom. As for the symmetry: F-43m, No. 216.

---

Entry 6:
HfHgTe2: relaxed, GGA-PBE.

Unit cell a=7.3902 b=7.3902 c=7.3902 alpha=90.00 beta=90.00 gamma=90.00
Closest atoms and distances in Å follow each position.
Fractional positions:
Hf1 0.0000 0.0000 0.0000  4 Hg 3.20, 4 Te 3.20
Hf2 0.0000 0.5000 0.5000  4 Hg 3.20, 4 Te 3.20
Hf3 0.5000 0.0000 0.5000  4 Hg 3.20, 4 Te 3.20
Hf4 0.5000 0.5000 0.0000  4 Hg 3.20, 4 Te 3.20
Hg1 0.2500 0.2500 0.2500  4 Hf 3.20, 4 Te 3.20
Hg2 0.2500 0.7500 0.7500  4 Hf 3.20, 4 Te 3.20
Hg3 0.7500 0.2500 0.7500  4 Hf 3.20, 4 Te 3.20
Hg4 0.7500 0.7500 0.2500  4 Hf 3.20, 4 Te 3.20
Te1 0.0000 0.0000 0.5000  4 Te 3.20, 4 Hg 3.20
Te2 0.0000 0.5000 0.0000  4 Te 3.20, 4 Hg 3.20
Te3 0.2500 0.2500 0.7500  4 Hf 3.20, 4 Te 3.20
Te4 0.2500 0.7500 0.2500  4 Hf 3.20, 4 Te 3.20
Te5 0.5000 0.0000 0.0000  4 Te 3.20, 4 Hg 3.20
Te6 0.5000 0.5000 0.5000  4 Te 3.20, 4 Hg 3.20
Te7 0.7500 0.2500 0.2500  4 Hf 3.20, 4 Te 3.20
Te8 0.7500 0.7500 0.7500  4 Te 3.20, 4 Hf 3.20

Summary:
As for the total energy: -3.94 eV/atom. As for the symmetry: F-43m, No. 216.

---

Entry 7:
HfTlHg3Te4: relaxed, GGA-PBE.

Unit cell a=7.3112 b=7.3112 c=7.3112 alpha=90.00 beta=90.00 gamma=90.00
Closest atoms and distances in Å follow each position.
Fractional positions:
Hf1 0.0000 0.0000 0.0000  4 Te 2.76
Tl1 0.5000 0.5000 0.5000  4 Te 3.57
Hg1 0.0000 0.0000 0.5000  4 Te 3.06
Hg2 0.0000 0.5000 0.0000  4 Te 3.06
Hg3 0.5000 0.0000 0.0000  4 Te 3.06
Te1 0.2183 0.2183 0.7817  1 Hf 2.76, 3 Hg 3.06
Te2 0.2183 0.7817 0.2183  1 Hf 2.76, 3 Hg 3.06
Te3 0.7817 0.2183 0.2183  1 Hf 2.76, 3 Hg 3.06
Te4 0.7817 0.7817 0.7817  1 Hf 2.76, 3 Hg 3.06

Summary:
The calculation puts the energy above the most stable polymorph in this dataset at 96.9 meV per atom. As for the symmetry: P-43m, No. 215.

---

Entry 8:
HfTlHg3Te4: relaxed, GGA-PBE.

Unit cell a=7.2445 b=8.4365 c=10.8317 alpha=90.00 beta=108.51 gamma=90.00
Closest atoms and distances in Å follow each position.
Fractional positions:
Hf1 0.0577 0.2500 0.2675  4 Te 2.71-2.81
Hf2 0.9423 0.7500 0.7325  4 Te 2.71-2.81
Tl1 0.1849 0.2500 0.9074  5 Te 3.47-3.66
Tl2 0.8151 0.7500 0.0926  5 Te 3.47-3.66
Hg1 0.2767 0.5607 0.4681  1 Hg 2.85, 2 Te 2.98-3.00
Hg2 0.2767 0.9393 0.4681  1 Hg 2.85, 2 Te 2.98-3.00
Hg3 0.4569 0.7500 0.6915  3 Te 2.81-3.14, 2 Hg 2.85
Hg4 0.5431 0.2500 0.3085  3 Te 2.81-3.14, 2 Hg 2.85
Hg5 0.7233 0.0607 0.5319  1 Hg 2.85, 2 Te 2.98-3.00
Hg6 0.7233 0.4393 0.5319  1 Hg 2.85, 2 Te 2.98-3.00
Te1 0.1348 0.2500 0.5389  1 Hf 2.81, 2 Hg 3.00
Te2 0.2222 0.5063 0.1867  1 Hf 2.74, 1 Hg 2.98
Te3 0.2222 0.9937 0.1867  1 Hf 2.74, 1 Hg 2.98
Te4 0.3096 0.7500 0.9021  1 Hf 2.71, 1 Hg 2.81
Te5 0.6904 0.2500 0.0979  1 Hf 2.71, 1 Hg 2.81
Te6 0.7778 0.0063 0.8133  1 Hf 2.74, 1 Hg 2.98
Te7 0.7778 0.4937 0.8133  1 Hf 2.74, 1 Hg 2.98
Te8 0.8652 0.7500 0.4611  1 Hf 2.81, 2 Hg 3.00

Summary:
The calculation puts the energy above the most stable polymorph in this dataset at 0.0 meV per atom. As for the symmetry: P2_1/m, No. 11.

---

Entry 9:
HfTlHg: relaxed, GGA-PBE.

Unit cell a=6.8148 b=6.8148 c=6.8148 alpha=90.00 beta=90.00 gamma=90.00
Closest atoms and distances in Å follow each position.
Fractional positions:
Hf1 0.0000 0.0000 0.0000  4 Tl 2.95, 4 Hg 2.95
Hf2 0.0000 0.5000 0.5000  4 Tl 2.95, 4 Hg 2.95
Hf3 0.5000 0.0000 0.5000  4 Tl 2.95, 4 Hg 2.95
Hf4 0.5000 0.5000 0.0000  4 Tl 2.95, 4 Hg 2.95
Tl1 0.2500 0.2500 0.2500  4 Hf 2.95
Tl2 0.2500 0.7500 0.7500  4 Hf 2.95
Tl3 0.7500 0.2500 0.7500  4 Hf 2.95
Tl4 0.7500 0.7500 0.2500  4 Hf 2.95
Hg1 0.2500 0.2500 0.7500  4 Hf 2.95
Hg2 0.2500 0.7500 0.2500  4 Hf 2.95
Hg3 0.7500 0.2500 0.2500  4 Hf 2.95
Hg4 0.7500 0.7500 0.7500  4 Hf 2.95

Summary:
The calculation puts the energy above the most stable polymorph in this dataset at 0.0 meV per atom. As for the symmetry: F-43m, No. 216.

---

Entry 10:
Hf3Tl2Hg2: relaxed, GGA-PBE.

Unit cell a=8.4905 b=8.4905 c=8.4905 alpha=33.57 beta=33.57 gamma=33.57
Closest atoms and distances in Å follow each position.
Fractional positions:
Hf1 0.0000 0.0000 0.0000  4 Tl 2.91-2.94, 4 Hg 3.11
Hf2 0.2534 0.2534 0.2534  4 Hg 3.07-3.21, 4 Tl 3.09-3.15, 6 Hf 3.39-3.42
Hf3 0.5091 0.5091 0.5091  4 Hg 2.91-2.93, 4 Tl 3.11
Tl1 0.1223 0.1223 0.1223  5 Hf 2.94-3.15, 3 Hg 3.28
Tl2 0.6385 0.6385 0.6385  7 Hf 2.91-3.11
Hg1 0.3869 0.3869 0.3869  5 Hf 2.93-3.21, 3 Tl 3.28
Hg2 0.8706 0.8706 0.8706  7 Hf 2.91-3.11

Summary:
As for the total energy: -4.84 eV/atom. As for the symmetry: R3m, No. 160.

---

Entry 11:
HfTlHg: relaxed, GGA-PBE.

Unit cell a=6.7149 b=6.7149 c=6.7149 alpha=90.00 beta=90.00 gamma=90.00
Closest atoms and distances in Å follow each position.
Fractional positions:
Hf1 0.0000 0.0000 0.0000  4 Hg 2.91
Hf2 0.0000 0.5000 0.5000  4 Hg 2.91
Hf3 0.5000 0.0000 0.5000  4 Hg 2.91
Hf4 0.5000 0.5000 0.0000  4 Hg 2.91
Tl1 0.0000 0.0000 0.5000  4 Hg 2.91
Tl2 0.0000 0.5000 0.0000  4 Hg 2.91
Tl3 0.5000 0.0000 0.0000  4 Hg 2.91
Tl4 0.5000 0.5000 0.5000  4 Hg 2.91
Hg1 0.2500 0.2500 0.2500  4 Hf 2.91, 4 Tl 2.91
Hg2 0.2500 0.7500 0.7500  4 Hf 2.91, 4 Tl 2.91
Hg3 0.7500 0.2500 0.7500  4 Hf 2.91, 4 Tl 2.91
Hg4 0.7500 0.7500 0.2500  4 Hf 2.91, 4 Tl 2.91

Summary:
The calculation puts the energy above the most stable polymorph in this dataset at 90.0 meV per atom. As for the symmetry: F-43m, No. 216.

---

Entry 12:
HfTl2Hg: relaxed, GGA-PBE.

Unit cell a=7.3375 b=7.3375 c=7.3375 alpha=90.00 beta=90.00 gamma=90.00
Closest atoms and distances in Å follow each position.
Fractional positions:
Hf1 0.0000 0.0000 0.0000  4 Hg 3.18, 4 Tl 3.18
Hf2 0.0000 0.5000 0.5000  4 Hg 3.18, 4 Tl 3.18
Hf3 0.5000 0.0000 0.5000  4 Hg 3.18, 4 Tl 3.18
Hf4 0.5000 0.5000 0.0000  4 Hg 3.18, 4 Tl 3.18
Tl1 0.0000 0.0000 0.5000  4 Tl 3.18, 4 Hg 3.18
Tl2 0.0000 0.5000 0.0000  4 Tl 3.18, 4 Hg 3.18
Tl3 0.2500 0.2500 0.7500  4 Hf 3.18, 4 Tl 3.18
Tl4 0.2500 0.7500 0.2500  4 Hf 3.18, 4 Tl 3.18
Tl5 0.5000 0.0000 0.0000  4 Tl 3.18, 4 Hg 3.18
Tl6 0.5000 0.5000 0.5000  4 Tl 3.18, 4 Hg 3.18
Tl7 0.7500 0.2500 0.2500  4 Hf 3.18, 4 Tl 3.18
Tl8 0.7500 0.7500 0.7500  4 Tl 3.18, 4 Hf 3.18
Hg1 0.2500 0.2500 0.2500  4 Hf 3.18, 4 Tl 3.18
Hg2 0.2500 0.7500 0.7500  4 Hf 3.18, 4 Tl 3.18
Hg3 0.7500 0.2500 0.7500  4 Hf 3.18, 4 Tl 3.18
Hg4 0.7500 0.7500 0.2500  4 Hf 3.18, 4 Tl 3.18

Summary:
As for the total energy: -3.35 eV/atom. As for the symmetry: F-43m, No. 216.